a | Compound: ScTaAg2
Source: the Alexandria database
Functional: GGA-PBEsol
Structure: relaxed

Structure (extended XYZ):
```
4
Lattice="2.974 0.000 0.000 1.487 2.576 0.000 1.487 0.859 9.465" Properties=species:S:1:pos:R:3 pbc="T T T"
Ag 1.487 0.859 9.458
Ag 4.461 2.576 7.145
Sc 2.974 1.717 4.724
Ta 1.487 0.859 2.336
```

## Properties
- V (Å³/cell) = 72.5
- density (g/cm3) = 10.1

b | Compound: ScTaAg2
Source: the Alexandria database
Functional: GGA-PBEsol
Structure: relaxed

Structure (extended XYZ):
```
4
Lattice="4.676 0.000 0.000 2.338 4.050 0.000 2.338 1.350 3.818" Properties=species:S:1:pos:R:3 pbc="T T T"
Ag 2.338 1.350 0.955
Ag 7.014 4.050 2.864
Sc 0.000 0.000 0.000
Ta 4.676 2.700 1.909
```

## Properties
- V (Å³/cell) = 72.3
- density (g/cm3) = 10.1

c | Compound: ScTaAg2
Source: the Alexandria database
Functional: GGA-PBEsol
Structure: relaxed

Structure (extended XYZ):
```
4
Lattice="2.891 0.000 0.000 0.000 2.891 0.000 0.000 0.000 8.437" Properties=species:S:1:pos:R:3 pbc="T T T"
Ag 0.000 0.000 6.294
Ag 0.000 0.000 2.143
Sc 1.446 1.446 0.000
Ta 1.446 1.446 4.218
```

## Properties
- V (Å³/cell) = 70.5
- density (g/cm3) = 10.4

Most stable structure - c; separation to the second - 0.044 eV/atom.

a | Compound: Sc2TcAg
Source: the Alexandria database
Functional: GGA-PBEsol
Structure: relaxed

Structure (extended XYZ):
```
4
Lattice="-1.807 -3.063 -2.942 1.491 -4.368 0.011 -2.738 -3.369 1.569" Properties=species:S:1:pos:R:3 pbc="T T T"
Sc -0.763 -2.700 -0.341
Sc -2.290 -8.101 -1.022
Tc -1.527 -5.400 -0.681
Ag 0.000 0.000 0.000
```

## Properties
- V (Å³/cell) = 69.5
- density (g/cm3) = 7.1

b | Compound: Sc2TcAg
Source: the Alexandria database
Functional: GGA-PBEsol
Structure: relaxed

Structure (extended XYZ):
```
4
Lattice="-0.825 3.138 0.278 -0.339 0.197 -3.232 -6.444 -1.746 0.570" Properties=species:S:1:pos:R:3 pbc="T T T"
Sc -4.998 -1.354 0.442
Sc -1.446 -0.392 0.128
Tc -0.582 1.667 -1.477
Ag -3.804 0.795 -1.192
```

## Properties
- V (Å³/cell) = 71.0
- density (g/cm3) = 6.9

c | Compound: Sc2TcAg
Source: the Alexandria database
Functional: GGA-PBEsol
Structure: relaxed

Structure (extended XYZ):
```
4
Lattice="3.108 0.000 0.000 0.000 4.132 0.000 0.000 0.000 5.680" Properties=species:S:1:pos:R:3 pbc="T T T"
Ag 1.554 2.066 4.379
Sc 0.000 0.000 5.519
Sc 1.554 2.066 1.725
Tc 0.000 0.000 2.577
```

## Properties
- V (Å³/cell) = 72.9
- density (g/cm3) = 6.7

Most stable structure - b; separation to the second - 0.065 eV/atom.